1.
Below is a relaxed structure of SrCo2Ru, with properties calculated at the GGA-PBEsol level.

Values from the calculation:
Energy relative to the elements in meV per atom: 533
Energy above the most stable polymorph in this dataset in eV/f.u.: 0.97
V in A^3/atom: 16.1
Total moment in μB/atom: 0.6663
Theoretical density in g/cm3: 7.9

abc: 3.042 3.042 6.975
angles: 90.00 90.00 90.00
Element x y z (fractional)
Co 0.000 0.000 0.826
Co 0.000 0.000 0.174
Sr 0.500 0.500 0.500
Ru 0.500 0.500 0.000



2.
Below is a relaxed structure of SrCoRu2, with properties calculated at the GGA-PBEsol level.

Values from the calculation:
Energy relative to the elements in meV per atom: 665
Energy above the most stable polymorph in this dataset in eV/f.u.: 0.07
V in A^3/atom: 15.7
Total moment in μB/atom: 0.0004
Theoretical density in g/cm3: 9.2

abc: 2.733 4.605 5.654
angles: 114.03 103.99 90.00
Element x y z (fractional)
Co 0.000 0.500 0.000
Sr 0.500 0.000 0.000
Ru 0.288 0.288 0.575
Ru 0.712 0.712 0.425



3.
Below is a relaxed structure of SrCo2Ru, with properties calculated at the GGA-PBEsol level.

Values from the calculation:
Energy relative to the elements in meV per atom: 823
Energy above the most stable polymorph in this dataset in eV/f.u.: 2.13
V in A^3/atom: 15.3
Total moment in μB/atom: 0.9779
Theoretical density in g/cm3: 8.3

abc: 3.012 4.509 4.509
angles: 90.00 90.00 90.00
Element x y z (fractional)
Ru 0.500 0.500 0.500
Sr 0.500 0.000 0.000
Co 0.000 0.000 0.500
Co 0.000 0.500 0.000



4.
Below is a relaxed structure of SrCoRu2, with properties calculated at the GGA-PBEsol level.

Values from the calculation:
Energy relative to the elements in meV per atom: 999
Energy above the most stable polymorph in this dataset in eV/f.u.: 1.40
V in A^3/atom: 15.9
Total moment in μB/atom: 1.0612
Theoretical density in g/cm3: 9.1

abc: 4.482 4.482 4.482
angles: 60.00 60.00 60.00
Element x y z (fractional)
Ru 0.750 0.750 0.750
Ru 0.250 0.250 0.250
Co 0.000 0.000 0.000
Sr 0.500 0.500 0.500